Material: VCuHgTe3
Method: DFT, PBE
State: optimized geometry

total energy	-4.006	eV/atom

a b c (Å): 9.5973 3.6721 10.3284
angles (deg): 90.00 115.72 90.00
Space group P2_1/m (No. 11)
Symmetry-distinct sites (fractional):
V 0.0346 0.2500 0.3217 x2
Cu 0.0263 0.7500 0.1007 x2
Hg 0.4859 0.7500 0.7581 x2
Te 0.1436 0.2500 0.6174 x2
Te 0.1855 0.7500 0.9445 x2
Te 0.2517 0.7500 0.3529 x2